## MnHO3 (PBE with a Hubbard U)

Data for a geometry-optimized MnHO3 structure.

The value obtained for the total DFT energy (no corrections) is -4.722 eV per atom.

The space group is Pm-3m (No. 221) and the conventional cell measures 3.572, 3.572 and 3.572 Å, with angles of 90.00, 90.00 and 90.00 degrees. The distinct sites, in fractional coordinates, are Mn at (0.000, 0.000, 0.000), H at (0.500, 0.500, 0.500) and O at (0.000, 0.000, 0.500).